Entry 1:
Mg7In12Pb: relaxed, PBE.

Cell lengths 6.534, 8.602, 9.894 Å; angles 100.00, 107.63, 103.43 degrees
Positions (direct):
Mg1 0.000 0.000 0.000
Mg2 0.049 0.798 0.698
Mg3 0.304 0.799 0.204
Mg4 0.353 0.594 0.901
Mg5 0.647 0.406 0.099
Mg6 0.696 0.201 0.796
Mg7 0.951 0.202 0.302
In1 0.094 0.595 0.394
In2 0.135 0.396 0.093
In3 0.194 0.196 0.806
In4 0.248 0.993 0.500
In5 0.402 0.397 0.605
In6 0.441 0.204 0.295
In7 0.559 0.796 0.705
In8 0.598 0.603 0.395
In9 0.752 0.007 0.500
In10 0.806 0.804 0.194
In11 0.865 0.604 0.907
In12 0.906 0.405 0.606
Pb1 0.500 0.000 0.000

Energy above the most stable polymorph in this dataset: 0.000 eV/atom
E: -48.6 eV per cell



Entry 2:
Mg5InPb3: relaxed, PBE.

Cell lengths 9.037, 9.037, 6.295 Å; angles 90.00, 90.00, 62.72 degrees
Positions (direct):
Mg1 0.171 0.171 0.000
Mg2 0.171 0.171 0.500
Mg3 0.199 0.515 0.250
Mg4 0.214 0.786 0.750
Mg5 0.485 0.801 0.250
Mg6 0.515 0.199 0.750
Mg7 0.786 0.214 0.250
Mg8 0.801 0.485 0.750
Mg9 0.829 0.829 0.000
Mg10 0.829 0.829 0.500
In1 0.500 0.500 0.000
In2 0.500 0.500 0.500
Pb1 0.100 0.900 0.250
Pb2 0.133 0.493 0.750
Pb3 0.493 0.133 0.250
Pb4 0.507 0.867 0.750
Pb5 0.867 0.507 0.250
Pb6 0.900 0.100 0.750

E: -44.3 eV per cell



Entry 3:
MgIn12Pb16: relaxed, PBE.

Cell lengths 10.231, 10.231, 10.156 Å; angles 107.83, 107.83, 108.65 degrees
Positions (direct):
Mg1 0.000 0.000 0.000
In1 0.021 0.209 0.328
In2 0.023 0.023 0.519
In3 0.188 0.570 0.507
In4 0.201 0.201 0.885
In5 0.209 0.021 0.328
In6 0.371 0.756 0.875
In7 0.385 0.576 0.067
In8 0.560 0.749 0.676
In9 0.570 0.188 0.507
In10 0.576 0.385 0.067
In11 0.749 0.560 0.676
In12 0.756 0.371 0.875
Pb1 0.050 0.398 0.708
Pb2 0.067 0.808 0.699
Pb3 0.072 0.386 0.102
Pb4 0.077 0.706 0.999
Pb5 0.371 0.790 0.373
Pb6 0.383 0.383 0.697
Pb7 0.385 0.385 0.358
Pb8 0.386 0.072 0.102
Pb9 0.398 0.050 0.708
Pb10 0.672 0.970 0.285
Pb11 0.693 0.693 0.407
Pb12 0.706 0.077 0.999
Pb13 0.725 0.725 0.003
Pb14 0.790 0.371 0.373
Pb15 0.808 0.067 0.699
Pb16 0.970 0.672 0.285

E: -93.0 eV per cell